Record 1
First-principles (PBE) data for Na2SrMgH after structural relaxation, as listed in Alexandria via LeMat-Bulk.

Structure (POSCAR):
```
Na2SrMgH
1.0
5.1957 0.0000 0.0000
0.0000 5.1957 0.0000
0.0000 0.0000 5.0919
Na Sr Mg H
2 1 1 1
direct
0.0000 0.5000 0.0000 Na
0.5000 0.0000 0.0000 Na
0.0000 0.0000 0.5000 Sr
0.5000 0.5000 0.5000 Mg
0.0000 0.0000 0.0000 H
```

Computed properties:
As for the total DFT energy (no corrections): -1.897 eV per atom.

Record 2
First-principles (PBE) data for CsAuF4 after structural relaxation, as listed in Alexandria via LeMat-Bulk.

Structure (POSCAR):
```
CsAuF4
1.0
2.2405 -8.0432 0.0000
2.2405 8.0432 0.0000
0.0000 0.0000 6.6274
Cs Au F
2 2 8
direct
0.1494 0.8506 0.7500 Cs
0.8506 0.1494 0.2500 Cs
0.4150 0.5850 0.7500 Au
0.5850 0.4150 0.2500 Au
0.0804 0.9196 0.2500 F
0.3243 0.6757 0.5315 F
0.3243 0.6757 0.9685 F
0.5000 0.5000 0.0000 F
0.5000 0.5000 0.5000 F
0.6757 0.3243 0.0315 F
0.6757 0.3243 0.4685 F
0.9196 0.0804 0.7500 F
```

Computed properties:
Its formation energy without anion corrections is -937 kJ/mol of formula units. As for the total DFT energy (no corrections): -3.555 eV per atom.

Record 3
First-principles (PBE) data for Ca2ReCl after structural relaxation, as listed in Alexandria via LeMat-Bulk.

Structure (POSCAR):
```
Ca2ReCl
1.0
7.2500 0.0000 0.0000
0.0000 7.2500 0.0000
0.0000 0.0000 7.2500
Ca Re Cl
8 4 4
direct
0.0000 0.0000 0.0000 Ca
0.0000 0.5000 0.5000 Ca
0.2500 0.2500 0.2500 Ca
0.2500 0.7500 0.7500 Ca
0.5000 0.0000 0.5000 Ca
0.5000 0.5000 0.0000 Ca
0.7500 0.2500 0.7500 Ca
0.7500 0.7500 0.2500 Ca
0.2500 0.2500 0.7500 Re
0.2500 0.7500 0.2500 Re
0.7500 0.2500 0.2500 Re
0.7500 0.7500 0.7500 Re
0.0000 0.0000 0.5000 Cl
0.0000 0.5000 0.0000 Cl
0.5000 0.0000 0.0000 Cl
0.5000 0.5000 0.5000 Cl
```

Computed properties:
As for the relative energy among the computed polymorphs: 950.0 meV per atom. Its formation energy without anion corrections is 274 kJ/mol of formula units. As for the total DFT energy (no corrections): -3.866 eV per atom.